# 1
CsCuF4: relaxed, GGA-PBEsol.

abc: 6.2001 6.2001 11.9575
angles: 90.00 90.00 90.00
Last column: nearest neighbours and their distance in Å.
Space group I4/mcm (No. 140)
One atom of each set of equivalent atoms:
Cs 0.0000 0.0000 0.2500  8 F 2.96
Cu 0.0000 0.5000 0.0000  4 F 1.76
F 0.1424 0.3576 0.1036  1 Cu 1.76

Results
For the total magnetization, the calculation gives 0.0 μB per formula unit. The calculation puts the raw formation energy at -1117 kJ/mol of formula units.



# 2
NaHf2VF11: relaxed, GGA-PBEsol.

abc: 9.0881 6.7111 7.6892
angles: 90.00 116.06 90.00
Last column: nearest neighbours and their distance in Å.
Space group C2/m (No. 12)
One atom of each set of equivalent atoms:
Na 0.0000 0.0000 0.0000  4 F 2.20-2.22
Hf 0.0054 0.5000 0.2351  7 F 1.94-2.12
V 0.0000 0.0000 0.5000  6 F 2.04-2.07
F 0.0000 0.3304 0.0000  2 Hf 2.12, 1 Na 2.22, 1 F 2.28
F 0.0000 0.5000 0.5000  2 Hf 2.06
F 0.0143 0.2069 0.3090  1 Hf 2.04, 1 V 2.07
F 0.2321 0.5000 0.8901  1 Hf 1.94
F 0.2496 0.0000 0.6466  1 Hf 2.00, 1 V 2.04

Results
For the total magnetization, the calculation gives 3.0 μB per formula unit. The calculation puts the raw formation energy at -4996 kJ/mol of formula units.



# 3
ScTeIr4: relaxed, GGA-PBEsol.

abc: 7.4008 7.4008 7.4008
angles: 90.00 90.00 90.00
Last column: nearest neighbours and their distance in Å.
Space group F-43m (No. 216)
One atom of each set of equivalent atoms:
Sc 0.0000 0.0000 0.0000  12 Ir 3.07, 4 Te 3.20
Te 0.2500 0.2500 0.7500  12 Ir 3.07, 4 Sc 3.20
Ir 0.1253 0.1253 0.3747  6 Ir 2.61-2.62

Results
For the total magnetization, the calculation gives 0.0 μB per formula unit. The calculation puts the raw formation energy at -31 kJ/mol of formula units. For the density of states at the Fermi level, the calculation gives 0.94 states/eV per atom.



# 4
Zr3ReP: relaxed, GGA-PBEsol.

abc: 4.9511 4.9511 4.9511
angles: 90.00 90.00 90.00
Last column: nearest neighbours and their distance in Å.
Space group Pm-3m (No. 221)
One atom of each set of equivalent atoms:
Zr 0.0000 0.0000 0.5000  2 Re 2.48
Re 0.0000 0.0000 0.0000  6 Zr 2.48
P 0.5000 0.5000 0.5000  12 Zr 3.50

Results
For the total magnetization, the calculation gives 0.0 μB per formula unit. The value obtained for the calculated total energy is -0.316 hartree per atom. For the density of states at the Fermi level, the calculation gives 1.65 states/eV per atom.



# 5
Sr2RhW: relaxed, GGA-PBEsol.

abc: 3.3364 3.3364 9.4550
angles: 90.00 90.00 90.00
Last column: nearest neighbours and their distance in Å.
Space group P4mm (No. 99)
One atom of each set of equivalent atoms:
Sr 0.0000 0.0000 0.0000  4 Rh 3.30, 1 W 3.33, 4 Sr 3.34
Sr 0.5000 0.5000 0.3920  4 Sr 3.34, 4 W 3.38, 1 Rh 3.44
Rh 0.5000 0.5000 0.7556  4 W 2.57
W 0.0000 0.0000 0.6483  4 Rh 2.57

Results
For the total magnetization, the calculation gives 0.0 μB per formula unit. The relative energy among the computed polymorphs is 0 meV/atom. For the density of states at the Fermi level, the calculation gives 1.20 states/eV per atom.



# 6
LaIr2Se: relaxed, GGA-PBEsol.

abc: 6.7178 6.7178 6.7178
angles: 90.00 90.00 90.00
Last column: nearest neighbours and their distance in Å.
Space group Fm-3m (No. 225)
One atom of each set of equivalent atoms:
La 0.0000 0.0000 0.0000  8 Ir 2.91
Ir 0.2500 0.2500 0.2500  4 La 2.91, 4 Se 2.91
Se 0.0000 0.0000 0.5000  8 Ir 2.91

Results
For the total magnetization, the calculation gives 0.2 μB per formula unit. The calculation puts the raw formation energy at 77 kJ/mol of formula units. The relative energy among the computed polymorphs is 587 meV/atom. For the density of states at the Fermi level, the calculation gives 1.53 states/eV per atom.



# 7
LiMn2Fe: relaxed, GGA-PBEsol.

abc: 2.6845 3.9390 8.3764
angles: 90.00 90.00 90.00
Last column: nearest neighbours and their distance in Å.
Space group Cmm2 (No. 35)
One atom of each set of equivalent atoms:
Li 0.0000 0.0000 0.0000  4 Li 2.38, 2 Fe 2.59, 2 Mn 2.61
Mn 0.0000 0.0000 0.4959  6 Mn 2.34-2.38, 2 Fe 2.41
Mn 0.0000 0.5000 0.2675  6 Mn 2.34-2.38, 2 Li 2.61
Fe 0.0000 0.5000 0.7350  4 Fe 2.38, 2 Mn 2.41, 2 Li 2.59

Results
For the total magnetization, the calculation gives 2.7 μB per formula unit. The relative energy among the computed polymorphs is 0 meV/atom. For the density of states at the Fermi level, the calculation gives 1.13 states/eV per atom.



# 8
MoPtCl2: relaxed, GGA-PBEsol.

abc: 2.9161 2.9161 27.0126
angles: 90.00 90.00 120.00
Last column: nearest neighbours and their distance in Å.
Space group R-3m (No. 166, hexagonal axes)
One atom of each set of equivalent atoms:
Mo 0.0000 0.0000 0.0000  6 Cl 2.43
Pt 0.0000 0.0000 0.5000  6 Pt 2.92, 6 Cl 3.22
Cl 0.0000 0.0000 0.2683  3 Mo 2.43

Results
For the total magnetization, the calculation gives 0.0 μB per formula unit. The calculation puts the raw formation energy at 20 kJ/mol of formula units. The relative energy among the computed polymorphs is 0 meV/atom. For the density of states at the Fermi level, the calculation gives 0.72 states/eV per atom.